First-principles (PBE-GGA) data for La2Pm3Ge4 after structural relaxation, as listed in Alexandria via LeMat-Bulk.

## Properties
The value obtained for the calculated volume is 244.4 Å³/f.u. The calculation puts the offset from the most stable computed form at 0 meV per atom. The value obtained for the final energy is -5.57 eV/atom.

Cell and atoms, written as extended XYZ:
```
18
Lattice="8.029 0.000 0.000 0.000 8.129 0.000 -2.336 0.000 7.488" Properties=species:S:1:pos:R:3 pbc="T T T"
La 1.407 1.461 0.613
La 0.239 2.603 4.357
La 5.454 5.526 3.131
La 4.286 6.668 6.875
Pm 1.367 5.488 1.922
Pm 0.199 6.706 5.666
Pm 2.847 0.000 3.744
Pm 4.015 4.065 0.000
Pm 5.495 1.423 1.822
Pm 4.327 2.641 5.566
Ge -1.378 4.331 6.524
Ge -0.210 7.862 2.780
Ge 1.909 1.051 6.500
Ge 3.077 3.014 2.756
Ge 2.617 5.116 4.731
Ge 3.785 7.078 0.988
Ge 5.904 0.267 4.707
Ge 7.072 3.798 0.964
```

=====

First-principles (PBE-GGA) data for LaPm3Ge2 after structural relaxation, as listed in Alexandria via LeMat-Bulk.

## Properties
The value obtained for the calculated volume is 172.7 Å³/f.u. The calculation puts the offset from the most stable computed form at 0 meV per atom. The value obtained for the final energy is -5.31 eV/atom.

Cell and atoms, written as extended XYZ:
```
12
Lattice="8.869 -2.246 0.000 8.869 2.246 0.000 -3.877 0.000 8.669" Properties=species:S:1:pos:R:3 pbc="T T T"
La 1.536 0.000 1.160
La 12.324 0.000 7.509
Pm -1.804 0.000 6.024
Pm 5.015 0.000 1.006
Pm 4.169 0.000 4.546
Pm 9.691 0.000 4.123
Pm 8.845 0.000 7.663
Pm 15.665 0.000 2.645
Ge 1.446 0.000 6.144
Ge 8.184 0.000 1.155
Ge 5.676 0.000 7.514
Ge 12.414 0.000 2.525
```

=====

First-principles (PBE-GGA) data for La2Pm2Ge after structural relaxation, as listed in Alexandria via LeMat-Bulk.

## Properties
The value obtained for the calculated volume is 163.7 Å³/f.u. The value obtained for the final energy is -4.57 eV/atom.

Cell and atoms, written as extended XYZ:
```
5
Lattice="-2.077 2.077 9.484 2.077 -2.077 9.484 2.077 2.077 -9.484" Properties=species:S:1:pos:R:3 pbc="T T T"
La 2.077 0.000 4.742
La 0.000 2.077 4.742
Pm 0.000 0.000 1.463
Pm 0.000 0.000 17.504
Ge 0.000 0.000 9.484
```

=====

First-principles (PBE-GGA) data for La2PmGe4 after structural relaxation, as listed in Alexandria via LeMat-Bulk.

## Properties
The value obtained for the calculated volume is 176.9 Å³/f.u. The value obtained for the final energy is -5.45 eV/atom.

Cell and atoms, written as extended XYZ:
```
7
Lattice="-2.069 2.274 9.402 2.069 -2.274 9.402 2.069 2.274 -9.402" Properties=species:S:1:pos:R:3 pbc="T T T"
La 0.000 0.000 3.385
La 0.000 0.000 15.419
Pm 2.069 0.000 0.000
Ge 0.000 0.000 6.545
Ge 2.069 0.000 8.161
Ge 0.000 2.274 1.241
Ge 0.000 0.000 12.259
```

=====

For reference, formation energy by record: -0.84 -0.58 0.22 -0.73 eV/atom.
For reference, D(E_F) by record: 16.3 11.8 6.7 5.2 states/eV per cell.